Material: LiPaMn2O8
Method: DFT, PBE+U
State: optimized geometry

The space group is I-4m2 (No. 119) and the conventional cell measures 7.073, 7.073 and 6.260 Å, with angles of 90.00, 90.00 and 90.00 degrees. The asymmetric unit holds Li at (0.000, 0.000, 0.000), Pa at (0.000, 0.500, 0.250), Mn at (0.000, 0.000, 0.500), Mn at (0.000, 0.500, 0.750), O at (0.000, 0.191, 0.333) and O at (0.000, 0.321, 0.936).

The calculation puts the total energy at -7.245 eV per atom.